Arrangement w

The following is a PBE-GGA calculation of a geometry-optimized Ta2SiP structure, from Alexandria via LeMat-Bulk.

Summary:
- SG = P4/mmm, No. 123
- density (g/cm³) = 11.35
- magnetization (μB/f.u.) = 0.0
- density of states at the Fermi level (states/eV/cell) = 2.6

abc: 3.074 3.074 6.520
angles: 90.00 90.00 90.00
Fractional coordinates of all 4 atoms:
P  0.500  0.500  0.250
Si  0.500  0.500  0.750
Ta  0.000  0.000  0.011
Ta  0.000  0.000  0.489

Arrangement x

The following is a PBE-GGA calculation of a geometry-optimized Ta2SiP structure, from Alexandria via LeMat-Bulk.

Summary:
- SG = Fm-3m, No. 225
- density (g/cm³) = 11.33
- magnetization (μB/f.u.) = 0.0
- density of states at the Fermi level (states/eV/cell) = 3.1

abc: 4.436 4.436 4.436
angles: 60.00 60.00 60.00
Fractional coordinates of all 4 atoms:
P  0.500  0.500  0.500
Si  0.000  0.000  0.000
Ta  0.250  0.250  0.250
Ta  0.750  0.750  0.750

Quick ranking, most stable first: arrangement w, arrangement x.

Arrangement w

The following is a PBE-GGA calculation of a geometry-optimized Ta2SiP structure, from Alexandria via LeMat-Bulk.

Summary:
- SG = Immm, No. 71
- density (g/cm³) = 11.03
- magnetization (μB/f.u.) = 0.0
- density of states at the Fermi level (states/eV/cell) = 1.9

abc: 4.747 4.747 4.747
angles: 135.82 118.87 78.46
Fractional coordinates of all 4 atoms:
P  0.250  0.750  0.500
Si  0.750  0.250  0.500
Ta  0.026  0.026  0.000
Ta  0.474  0.474  0.000

Arrangement x

The following is a PBE-GGA calculation of a geometry-optimized Ta2SiP structure, from Alexandria via LeMat-Bulk.

Summary:
- SG = Pmmm, No. 47
- density (g/cm³) = 11.14
- magnetization (μB/f.u.) = 0.0
- density of states at the Fermi level (states/eV/cell) = 2.0

abc: 3.605 4.811 3.618
angles: 90.00 90.00 90.00
Fractional coordinates of all 4 atoms:
P  0.500  0.000  0.500
Si  0.000  0.500  0.500
Ta  0.000  0.000  0.000
Ta  0.500  0.500  0.000

Arrangement y

The following is a PBE-GGA calculation of a geometry-optimized Ta2SiP structure, from Alexandria via LeMat-Bulk.

Summary:
- SG = P4mm, No. 99
- density (g/cm³) = 10.28
- magnetization (μB/f.u.) = 0.0
- density of states at the Fermi level (states/eV/cell) = 1.7

abc: 2.802 2.802 8.660
angles: 90.00 90.00 90.00
Fractional coordinates of all 4 atoms:
P  0.000  0.000  0.478
Si  0.500  0.500  0.765
Ta  0.000  0.000  0.992
Ta  0.500  0.500  0.265

Arrangement z

The following is a PBE-GGA calculation of a geometry-optimized Ta2SiP structure, from Alexandria via LeMat-Bulk.

Summary:
- SG = R3m, No. 160
- density (g/cm³) = 10.53
- magnetization (μB/f.u.) = 0.0
- density of states at the Fermi level (states/eV/cell) = 2.4

abc: 8.145 8.145 8.145
angles: 21.98 21.98 21.98
Fractional coordinates of all 4 atoms:
P  0.500  0.500  0.500
Si  0.756  0.756  0.756
Ta  0.003  0.003  0.003
Ta  0.241  0.241  0.241

Quick ranking, most stable first: arrangement w, arrangement x, arrangement z, arrangement y.

Arrangement w

The following is a PBE-GGA calculation of a geometry-optimized Tb2SiP structure, from Alexandria via LeMat-Bulk.

Summary:
- SG = R-3m, No. 166
- density (g/cm³) = 5.46
- magnetization (μB/f.u.) = 0.0
- density of states at the Fermi level (states/eV/cell) = 3.6

abc: 3.829 3.829 9.292
angles: 78.11 78.11 60.00
Fractional coordinates of all 4 atoms:
P  0.500  0.500  0.500
Si  0.000  0.000  0.000
Tb  0.106  0.106  0.681
Tb  0.894  0.894  0.319

Arrangement x

The following is a PBE-GGA calculation of a geometry-optimized Tb2SiP structure, from Alexandria via LeMat-Bulk.

Summary:
- SG = Cmcm, No. 63
- density (g/cm³) = 6.87
- magnetization (μB/f.u.) = 0.0
- density of states at the Fermi level (states/eV/cell) = 2.6

abc: 3.911 4.167 11.367
angles: 100.56 90.00 90.00
Fractional coordinates of all 8 atoms:
Tb  0.750  0.687  0.375
Tb  0.250  0.313  0.625
Tb  0.750  0.933  0.866
Tb  0.250  0.067  0.134
Si  0.250  0.464  0.928
Si  0.750  0.536  0.072
P  0.250  0.188  0.376
P  0.750  0.812  0.624

Quick ranking, most stable first: arrangement x, arrangement w.

Arrangement w

The following is a PBE-GGA calculation of a geometry-optimized SiTcP structure, from Alexandria via LeMat-Bulk.

Summary:
- SG = P-6m2, No. 187
- density (g/cm³) = 6.11
- magnetization (μB/f.u.) = 0.0
- density of states at the Fermi level (states/eV/cell) = 2.8

abc: 4.058 4.058 2.992
angles: 90.00 90.00 120.00
Fractional coordinates of all 3 atoms:
P  0.000  0.000  0.833
Si  0.667  0.333  0.333
Tc  0.333  0.667  0.833

Arrangement x

The following is a PBE-GGA calculation of a geometry-optimized SiTcP structure, from Alexandria via LeMat-Bulk.

Summary:
- SG = I4mm, No. 107
- density (g/cm³) = 6.49
- magnetization (μB/f.u.) = 0.0
- density of states at the Fermi level (states/eV/cell) = 2.6

abc: 4.551 4.551 4.551
angles: 138.97 138.97 59.42
Fractional coordinates of all 3 atoms:
P  0.993  0.993  0.000
Si  0.336  0.336  0.000
Tc  0.671  0.671  0.000

Quick ranking, most stable first: arrangement x, arrangement w.

Arrangement w

The following is a PBE-GGA calculation of a geometry-optimized SiTcP structure, from Alexandria via LeMat-Bulk.

Summary:
- SG = Fmm2, No. 42
- density (g/cm³) = 6.02
- magnetization (μB/f.u.) = 0.0
- density of states at the Fermi level (states/eV/cell) = 1.5

abc: 6.432 6.163 2.828
angles: 82.39 71.77 25.84
Fractional coordinates of all 3 atoms:
P  0.010  0.010  0.990
Si  0.328  0.328  0.672
Tc  0.662  0.662  0.338

Arrangement x

The following is a PBE-GGA calculation of a geometry-optimized SiTcP structure, from Alexandria via LeMat-Bulk.

Summary:
- SG = P2_1/c, No. 14
- density (g/cm³) = 5.75
- magnetization (μB/f.u.) = 0.0
- density of states at the Fermi level (states/eV/cell) = 7.1

abc: 6.137 6.323 5.942
angles: 128.07 90.00 90.00
Fractional coordinates of all 12 atoms:
Si  0.324  0.861  0.722
Si  0.676  0.139  0.278
Si  0.176  0.861  0.222
Si  0.824  0.139  0.778
P  0.420  0.341  0.167
P  0.580  0.659  0.833
P  0.920  0.659  0.333
P  0.080  0.341  0.667
Tc  0.953  0.756  0.791
Tc  0.547  0.756  0.291
Tc  0.047  0.244  0.209
Tc  0.453  0.244  0.709

Quick ranking, most stable first: arrangement x, arrangement w.

Arrangement w

The following is a PBE-GGA calculation of a geometry-optimized SiTcP structure, from Alexandria via LeMat-Bulk.

Summary:
- SG = P3m1, No. 156
- density (g/cm³) = 6.19
- magnetization (μB/f.u.) = 0.0
- density of states at the Fermi level (states/eV/cell) = 1.4

abc: 3.023 3.023 5.326
angles: 90.00 90.00 120.00
Fractional coordinates of all 3 atoms:
P  0.000  0.000  0.987
Si  0.667  0.333  0.336
Tc  0.333  0.667  0.676

Arrangement x

The following is a PBE-GGA calculation of a geometry-optimized SiTcP structure, from Alexandria via LeMat-Bulk.

Summary:
- SG = F-43m, No. 216
- density (g/cm³) = 5.53
- magnetization (μB/f.u.) = 0.0
- density of states at the Fermi level (states/eV/cell) = 3.3

abc: 4.056 4.056 4.056
angles: 60.00 60.00 60.00
Fractional coordinates of all 3 atoms:
P  0.000  0.000  0.000
Si  0.500  0.500  0.500
Tc  0.750  0.750  0.750

Arrangement y

The following is a PBE-GGA calculation of a geometry-optimized SiTcP structure, from Alexandria via LeMat-Bulk.

Summary:
- SG = F-43m, No. 216
- density (g/cm³) = 5.88
- magnetization (μB/f.u.) = 0.0
- density of states at the Fermi level (states/eV/cell) = 2.9

abc: 3.973 3.973 3.973
angles: 60.00 60.00 60.00
Fractional coordinates of all 3 atoms:
P  0.750  0.750  0.750
Si  0.000  0.000  0.000
Tc  0.500  0.500  0.500

Quick ranking, most stable first: arrangement w, arrangement x, arrangement y.

Arrangement w

The following is a PBE-GGA calculation of a geometry-optimized SiTeP2 structure, from Alexandria via LeMat-Bulk.

Summary:
- SG = P2/m, No. 10
- density (g/cm³) = 4.54
- magnetization (μB/f.u.) = 0.0
- density of states at the Fermi level (states/eV/cell) = 1.6

abc: 3.557 4.399 5.422
angles: 69.65 90.00 90.00
Fractional coordinates of all 4 atoms:
P  0.000  0.989  0.091
P  0.000  0.511  0.409
Si  0.500  0.250  0.250
Te  0.500  0.750  0.750

Arrangement x

The following is a PBE-GGA calculation of a geometry-optimized SiTeP2 structure, from Alexandria via LeMat-Bulk.

Summary:
- SG = P4/mmm, No. 123
- density (g/cm³) = 4.93
- magnetization (μB/f.u.) = 0.0
- density of states at the Fermi level (states/eV/cell) = 2.2

abc: 4.742 4.742 3.258
angles: 90.00 90.00 90.00
Fractional coordinates of all 4 atoms:
P  0.000  0.000  0.000
P  0.500  0.500  0.000
Si  0.500  0.000  0.500
Te  0.000  0.500  0.500

Quick ranking, most stable first: arrangement w, arrangement x.

Arrangement w

The following is a PBE-GGA calculation of a geometry-optimized SiTeP2 structure, from Alexandria via LeMat-Bulk.

Summary:
- SG = F-43m, No. 216
- density (g/cm³) = 5.03
- magnetization (μB/f.u.) = 0.0
- density of states at the Fermi level (states/eV/cell) = 3.0

abc: 4.667 4.667 4.667
angles: 60.00 60.00 60.00
Fractional coordinates of all 4 atoms:
P  0.000  0.000  0.000
P  0.250  0.250  0.250
Si  0.500  0.500  0.500
Te  0.750  0.750  0.750

Arrangement x

The following is a PBE-GGA calculation of a geometry-optimized SiTeP2 structure, from Alexandria via LeMat-Bulk.

Summary:
- SG = I4/mmm, No. 139
- density (g/cm³) = 4.66
- magnetization (μB/f.u.) = 0.0
- density of states at the Fermi level (states/eV/cell) = 1.1

abc: 4.653 4.652 4.652
angles: 70.11 71.36 109.90
Fractional coordinates of all 4 atoms:
P  0.000  0.000  0.000
P  0.500  0.000  0.500
Si  0.000  0.500  0.500
Te  0.500  0.500  0.000

Arrangement y

The following is a PBE-GGA calculation of a geometry-optimized SiTeP2 structure, from Alexandria via LeMat-Bulk.

Summary:
- SG = Imm2, No. 44
- density (g/cm³) = 3.21
- magnetization (μB/f.u.) = 0.0
- density of states at the Fermi level (states/eV/cell) = 2.1

abc: 6.821 6.821 6.821
angles: 150.54 133.47 56.03
Fractional coordinates of all 4 atoms:
P  0.939  0.939  0.000
P  0.792  0.292  0.500
Si  0.671  0.671  0.000
Te  0.098  0.598  0.500

Arrangement z

The following is a PBE-GGA calculation of a geometry-optimized SiTeP2 structure, from Alexandria via LeMat-Bulk.

Summary:
- SG = P4mm, No. 99
- density (g/cm³) = 4.29
- magnetization (μB/f.u.) = 0.0
- density of states at the Fermi level (states/eV/cell) = 1.4

abc: 3.125 3.125 8.631
angles: 90.00 90.00 89.98
Fractional coordinates of all 4 atoms:
P  0.000  0.000  0.124
P  0.500  0.500  0.236
Si  0.000  0.000  0.416
Te  0.500  0.500  0.724

Quick ranking, most stable first: arrangement x, arrangement z, arrangement y, arrangement w.

Arrangement w

The following is a PBE-GGA calculation of a geometry-optimized Th2SiP structure, from Alexandria via LeMat-Bulk.

Summary:
- SG = C2/c, No. 15
- density (g/cm³) = 8.23
- magnetization (μB/f.u.) = 0.0
- density of states at the Fermi level (states/eV/cell) = 10.1

abc: 7.286 7.295 9.416
angles: 104.94 104.91 109.55
Fractional coordinates of all 16 atoms:
Th  0.692  0.439  0.875
Th  0.183  0.936  0.875
Th  0.308  0.561  0.125
Th  0.817  0.064  0.125
Th  0.939  0.686  0.375
Th  0.564  0.811  0.625
Th  0.061  0.314  0.625
Th  0.436  0.189  0.375
Si  0.313  0.063  0.625
Si  0.562  0.312  0.125
Si  0.687  0.937  0.375
Si  0.438  0.688  0.875
P  0.937  0.187  0.875
P  0.063  0.813  0.125
P  0.188  0.438  0.376
P  0.812  0.562  0.624

Arrangement x

The following is a PBE-GGA calculation of a geometry-optimized Th2SiP structure, from Alexandria via LeMat-Bulk.

Summary:
- SG = R3m, No. 160
- density (g/cm³) = 8.14
- magnetization (μB/f.u.) = 0.0
- density of states at the Fermi level (states/eV/cell) = 3.5

abc: 4.116 4.116 7.657
angles: 74.41 74.41 60.00
Fractional coordinates of all 4 atoms:
Th  0.081  0.081  0.758
Th  0.253  0.253  0.242
Si  0.667  0.667  0.998
P  0.499  0.499  0.503

Quick ranking, most stable first: arrangement w, arrangement x.

Arrangement w

The following is a PBE-GGA calculation of a geometry-optimized Ti3SiP structure, from Alexandria via LeMat-Bulk.

Summary:
- SG = Pmmn, No. 59
- density (g/cm³) = 4.18
- magnetization (μB/f.u.) = 0.3
- density of states at the Fermi level (states/eV/cell) = 13.2

abc: 3.678 5.640 7.759
angles: 90.00 90.00 90.00
Fractional coordinates of all 10 atoms:
Ti  0.750  0.750  0.074
Ti  0.250  0.250  0.926
Ti  0.750  0.993  0.680
Ti  0.750  0.507  0.680
Ti  0.250  0.007  0.320
Ti  0.250  0.493  0.320
Si  0.750  0.250  0.149
Si  0.250  0.750  0.851
P  0.750  0.750  0.414
P  0.250  0.250  0.586

Arrangement x

The following is a PBE-GGA calculation of a geometry-optimized Ti3SiP structure, from Alexandria via LeMat-Bulk.

Summary:
- SG = Pm-3m, No. 221
- density (g/cm³) = 3.73
- magnetization (μB/f.u.) = 0.0
- density of states at the Fermi level (states/eV/cell) = 14.5

abc: 4.486 4.486 4.486
angles: 90.00 90.00 90.00
Fractional coordinates of all 5 atoms:
P  0.000  0.000  0.000
Si  0.500  0.500  0.500
Ti  0.000  0.500  0.000
Ti  0.000  0.000  0.500
Ti  0.500  0.000  0.000

Quick ranking, most stable first: arrangement w, arrangement x.

Arrangement w

The following is a PBE-GGA calculation of a geometry-optimized Ti2SiP structure, from Alexandria via LeMat-Bulk.

Summary:
- SG = Fm-3m, No. 225
- density (g/cm³) = 4.33
- magnetization (μB/f.u.) = 0.0
- density of states at the Fermi level (states/eV/cell) = 5.0

abc: 4.380 4.380 4.380
angles: 60.00 60.00 60.00
Fractional coordinates of all 4 atoms:
P  0.500  0.500  0.500
Si  0.000  0.000  0.000
Ti  0.250  0.250  0.250
Ti  0.750  0.750  0.750

Arrangement x

The following is a PBE-GGA calculation of a geometry-optimized Ti2SiP structure, from Alexandria via LeMat-Bulk.

Summary:
- SG = I-42d, No. 122
- density (g/cm³) = 2.84
- magnetization (μB/f.u.) = 0.0
- density of states at the Fermi level (states/eV/cell) = 7.5

abc: 5.670 5.670 6.917
angles: 65.80 65.80 90.00
Fractional coordinates of all 8 atoms:
P  0.000  0.000  0.000
P  0.750  0.250  0.500
Si  0.500  0.500  0.000
Si  0.250  0.750  0.500
Ti  0.637  0.125  0.250
Ti  0.113  0.625  0.250
Ti  0.375  0.363  0.750
Ti  0.875  0.887  0.750

Arrangement y

The following is a PBE-GGA calculation of a geometry-optimized Ti2SiP structure, from Alexandria via LeMat-Bulk.

Summary:
- SG = R-3m, No. 166
- density (g/cm³) = 4.03
- magnetization (μB/f.u.) = 0.0
- density of states at the Fermi level (states/eV/cell) = 2.6

abc: 3.543 3.543 6.216
angles: 73.44 73.44 60.00
Fractional coordinates of all 4 atoms:
P  0.000  0.000  0.000
Si  0.500  0.500  0.500
Ti  0.747  0.747  0.760
Ti  0.253  0.253  0.240

Quick ranking, most stable first: arrangement y, arrangement w, arrangement x.